1.
The following is a PBE calculation of a relaxed TlCdBi2Pb4 crystal, from Alexandria.

Summary:
formation enthalpy at 0 K	0.025	eV/atom
electronic total energy	-3.210	eV/atom
DOS at the Fermi energy	0.516	states/eV/atom

Lattice parameters (Å, degrees): 5.391 4.894 9.397 90.00 90.05 90.00
Space group P2/m (No. 10)
One atom of each set of equivalent atoms:
Tl 0.000 0.000 0.000 x1
Cd 0.500 0.500 0.500 x1
Bi 0.000 0.000 0.500 x1
Bi 0.500 0.500 0.000 x1
Pb 0.001 0.500 0.249 x2
Pb 0.499 0.000 0.738 x2

=====

2.
The following is a PBE calculation of a relaxed MgHgRu2 crystal, from Alexandria.

Summary:
formation enthalpy at 0 K	0.368	eV/atom
electronic total energy	-4.744	eV/atom
polymorph energy (0 for the lowest one)	293	meV/atom
DOS at the Fermi energy	0.984	states/eV/atom

Lattice parameters (Å, degrees): 2.838 4.691 5.023 90.00 93.06 90.00
Space group P2/m (No. 10)
One atom of each set of equivalent atoms:
Mg 0.000 0.000 0.000 x1
Hg 0.500 0.000 0.500 x1
Ru 0.261 0.500 0.777 x2

=====

3.
The following is a PBE calculation of a relaxed CaTbTm2P4 crystal, from Alexandria.

Summary:
formation enthalpy at 0 K	-1.401	eV/atom
electronic total energy	-6.053	eV/atom
DOS at the Fermi energy	0.487	states/eV/atom

Lattice parameters (Å, degrees): 6.944 3.997 6.967 90.00 109.29 90.00
Space group P2/m (No. 10)
One atom of each set of equivalent atoms:
Ca 0.000 0.000 0.000 x1
Tb 0.500 0.500 0.000 x1
Tm 0.000 0.500 0.500 x1
Tm 0.500 0.000 0.500 x1
P 0.251 0.000 0.742 x2
P 0.258 0.500 0.262 x2